Entry from Alexandria: a relaxed Nd3Np5N12 crystal (PBE-GGA).

The density of states at the Fermi level is 161.18 states/eV/cell. Its calculated volume is 16.0 Å³ per atom. The calculated density is 9.28 g/cm³. The total energy comes out at -1589.22 eV per cell.

It has space group Ia-3d (No. 230), with a = 13.6710 Å, b = 13.6710 Å, c = 13.6710 Å, α = 90.00°, β = 90.00° and γ = 90.00°. The distinct sites, in fractional coordinates, are Nd at (0.0000, 0.2500, 0.1250), Np at (0.0000, 0.0000, 0.0000), Np at (0.0000, 0.2500, 0.3750) and N at (0.0230, 0.0507, 0.6475).